[1]
Compound: KCd3
Source: Alexandria
Functional: SCAN
Structure: PBEsol geometry

a b c (Å): 3.372 3.372 10.488
angles (deg): 90.00 90.00 120.00
Fractional positions:
K1 0.000 0.000 0.000
Cd1 0.000 0.000 0.500
Cd2 0.667 0.333 0.278
Cd3 0.667 0.333 0.722

volume = 103.3 Å³/cell
formation energy = 0.121 eV per atom

[2]
Compound: LiThRh2
Source: Alexandria
Functional: SCAN
Structure: PBEsol geometry

a b c (Å): 4.621 4.621 4.621
angles (deg): 60.00 60.00 60.00
Fractional positions:
Li1 0.000 0.000 0.000
Th1 0.500 0.500 0.500
Rh1 0.250 0.250 0.250
Rh2 0.750 0.750 0.750

volume = 69.8 Å³/cell
formation energy = -0.650 eV per atom

[3]
Compound: Zr2BeAuN
Source: Alexandria
Functional: SCAN
Structure: PBEsol geometry

a b c (Å): 4.567 4.567 3.470
angles (deg): 90.00 90.00 90.00
Fractional positions:
Zr1 0.000 0.500 0.000
Zr2 0.500 0.000 0.000
Be1 0.000 0.000 0.500
Au1 0.500 0.500 0.500
N1 0.000 0.000 0.000

volume = 72.4 Å³/cell
formation energy (no corrections) = -1.017 eV/atom

[4]
Compound: OsRu2Pb
Source: Alexandria
Functional: SCAN
Structure: PBEsol geometry

a b c (Å): 6.228 6.228 6.228
angles (deg): 153.72 140.55 48.02
Fractional positions:
Os1 0.000 0.000 0.000
Ru1 0.568 0.568 0.000
Ru2 0.818 0.318 0.500
Pb1 0.236 0.736 0.500

volume = 67.7 Å³/cell
formation energy = 0.716 eV per atom

[5]
Compound: Ti2Si2Se
Source: Alexandria
Functional: SCAN
Structure: PBEsol geometry

a b c (Å): 6.757 6.757 3.492
angles (deg): 90.00 90.00 90.00
Fractional positions:
Ti1 0.174 0.326 0.000
Ti2 0.326 0.826 0.000
Ti3 0.674 0.174 0.000
Ti4 0.826 0.674 0.000
Si1 0.122 0.622 0.500
Si2 0.378 0.122 0.500
Si3 0.622 0.878 0.500
Si4 0.878 0.378 0.500
Se1 0.000 0.000 0.000
Se2 0.500 0.500 0.000

volume = 159.4 Å³/cell
formation energy (no corrections) = -0.503 eV/atom

[6]
Compound: CdSe3
Source: Alexandria
Functional: SCAN
Structure: PBEsol geometry

a b c (Å): 4.965 4.965 3.279
angles (deg): 90.00 90.00 90.00
Fractional positions:
Cd1 0.000 0.000 0.000
Se1 0.000 0.500 0.500
Se2 0.500 0.000 0.500
Se3 0.500 0.500 0.000

volume = 80.8 Å³/cell
formation energy (no corrections) = 0.319 eV/atom

[7]
Compound: BeIr2Pb
Source: Alexandria
Functional: SCAN
Structure: PBEsol geometry

a b c (Å): 5.222 5.222 2.924
angles (deg): 106.10 106.10 113.95
Fractional positions:
Be1 0.000 0.000 0.000
Ir1 0.000 0.500 0.500
Ir2 0.500 0.000 0.500
Pb1 0.500 0.500 0.000

volume = 62.7 Å³/cell
formation energy = 0.550 eV per atom
E above lowest polymorph = 5.800 kcal/mol of atoms

[8]
Compound: Y2Au
Source: Alexandria
Functional: SCAN
Structure: PBEsol geometry

a b c (Å): 7.438 7.438 4.801
angles (deg): 90.00 90.00 120.00
Fractional positions:
Y1 0.000 0.407 0.000
Y2 0.000 0.740 0.500
Y3 0.260 0.260 0.500
Y4 0.407 0.000 0.000
Y5 0.593 0.593 0.000
Y6 0.740 0.000 0.500
Au1 0.000 0.000 0.000
Au2 0.333 0.667 0.500
Au3 0.667 0.333 0.500

volume = 230.0 Å³/cell
formation energy = -0.839 eV per atom

[9]
Compound: SbP3C
Source: Alexandria
Functional: SCAN
Structure: PBEsol geometry

a b c (Å): 4.973 4.973 4.973
angles (deg): 90.00 90.00 90.00
Fractional positions:
Sb1 0.000 0.000 0.000
P1 0.000 0.000 0.500
P2 0.000 0.500 0.000
P3 0.500 0.000 0.000
C1 0.500 0.500 0.500

volume = 123.0 Å³/cell
formation energy (no corrections) = 2.702 eV/atom

[10]
Compound: Sr2ReSi
Source: Alexandria
Functional: SCAN
Structure: PBEsol geometry

a b c (Å): 3.008 3.008 9.750
angles (deg): 90.00 90.00 90.00
Fractional positions:
Sr1 0.000 0.000 0.245
Sr2 0.000 0.000 0.755
Re1 0.500 0.500 0.500
Si1 0.500 0.500 0.000

volume = 88.2 Å³/cell
formation energy (no corrections) = 0.750 eV/atom

[11]
Compound: Mo2AsW
Source: Alexandria
Functional: SCAN
Structure: PBEsol geometry

a b c (Å): 5.166 5.166 5.166
angles (deg): 138.24 138.24 60.54
Fractional positions:
Mo1 0.000 0.000 0.000
Mo2 0.750 0.250 0.500
As1 0.250 0.750 0.500
W1 0.500 0.500 0.000

volume = 60.5 Å³/cell
formation energy = 0.249 eV per atom

[12]
Compound: ZrTaS2Cl
Source: Alexandria
Functional: SCAN
Structure: PBEsol geometry

a b c (Å): 4.914 4.914 4.730
angles (deg): 90.00 90.00 90.00
Fractional positions:
Zr1 0.000 0.000 0.000
Ta1 0.500 0.500 0.500
S1 0.000 0.500 0.000
S2 0.500 0.000 0.000
Cl1 0.000 0.000 0.500

volume = 114.2 Å³/cell
formation energy (no corrections) = 0.004 eV/atom

[13]
Compound: Ba3La2Br12
Source: Alexandria
Functional: SCAN
Structure: PBEsol geometry

a b c (Å): 11.977 11.977 7.463
angles (deg): 90.00 90.00 90.00
Fractional positions:
Ba1 0.000 0.000 0.000
Ba2 0.181 0.319 0.500
Ba3 0.319 0.819 0.500
Ba4 0.500 0.500 0.000
Ba5 0.681 0.181 0.500
Ba6 0.819 0.681 0.500
La1 0.135 0.635 0.000
La2 0.365 0.135 0.000
La3 0.635 0.865 0.000
La4 0.865 0.365 0.000
Br1 0.000 0.500 0.266
Br2 0.000 0.500 0.734
Br3 0.064 0.795 0.274
Br4 0.064 0.795 0.726
Br5 0.182 0.318 0.000
Br6 0.205 0.064 0.274
Br7 0.205 0.064 0.726
Br8 0.295 0.564 0.274
Br9 0.295 0.564 0.726
Br10 0.318 0.818 0.000
Br11 0.436 0.295 0.274
Br12 0.436 0.295 0.726
Br13 0.500 0.000 0.266
Br14 0.500 0.000 0.734
Br15 0.564 0.705 0.274
Br16 0.564 0.705 0.726
Br17 0.682 0.182 0.000
Br18 0.705 0.436 0.274
Br19 0.705 0.436 0.726
Br20 0.795 0.936 0.274
Br21 0.795 0.936 0.726
Br22 0.818 0.682 0.000
Br23 0.936 0.205 0.274
Br24 0.936 0.205 0.726

volume = 1070.6 Å³/cell
formation energy (no corrections) = -2.329 eV/atom

[14]
Compound: Cs3MoPt
Source: Alexandria
Functional: SCAN
Structure: PBEsol geometry

a b c (Å): 5.592 5.592 5.592
angles (deg): 90.00 90.00 90.00
Fractional positions:
Cs1 0.000 0.000 0.500
Cs2 0.000 0.500 0.000
Cs3 0.500 0.000 0.000
Mo1 0.000 0.000 0.000
Pt1 0.500 0.500 0.500

volume = 174.9 Å³/cell
formation energy = 1.575 eV per atom

[15]
Compound: ZrCr
Source: Alexandria
Functional: SCAN
Structure: PBEsol geometry

a b c (Å): 5.462 5.462 6.336
angles (deg): 106.94 106.94 32.80
Fractional positions:
Zr1 0.000 0.000 0.000
Zr2 0.000 0.000 0.479
Zr3 0.691 0.691 0.836
Cr1 0.319 0.319 0.179
Cr2 0.326 0.326 0.625
Cr3 0.701 0.701 0.340

volume = 97.6 Å³/cell
formation energy = 0.180 eV per atom

[16]
Compound: Sr3Hg
Source: Alexandria
Functional: SCAN
Structure: PBEsol geometry

a b c (Å): 6.950 6.950 6.950
angles (deg): 116.52 116.52 116.52
Fractional positions:
Sr1 0.000 0.500 0.500
Sr2 0.500 0.000 0.500
Sr3 0.500 0.500 0.000
Hg1 0.000 0.000 0.000

volume = 158.8 Å³/cell
formation energy = -0.050 eV per atom
E above lowest polymorph = 7.792 kcal/mol of atoms

[17]
Compound: YAs2Pb
Source: Alexandria
Functional: SCAN
Structure: PBEsol geometry

a b c (Å): 3.817 3.817 6.300
angles (deg): 90.00 90.00 90.00
Fractional positions:
Y1 0.000 0.000 0.000
As1 0.500 0.500 0.212
As2 0.500 0.500 0.788
Pb1 0.000 0.000 0.500

volume = 91.8 Å³/cell
formation energy = -0.633 eV per atom

[18]
Compound: TlOsNO2
Source: Alexandria
Functional: SCAN
Structure: PBEsol geometry

a b c (Å): 4.091 4.091 4.264
angles (deg): 90.00 90.00 90.00
Fractional positions:
Tl1 0.000 0.000 0.000
Os1 0.500 0.500 0.500
N1 0.000 0.000 0.500
O1 0.000 0.500 0.000
O2 0.500 0.000 0.000

volume = 71.4 Å³/cell
formation energy (no corrections) = 1.904 eV/atom

[19]
Compound: CsCaC3
Source: Alexandria
Functional: SCAN
Structure: PBEsol geometry

a b c (Å): 4.560 4.560 4.560
angles (deg): 90.00 90.00 90.00
Fractional positions:
Cs1 0.000 0.000 0.000
Ca1 0.500 0.500 0.500
C1 0.000 0.000 0.500
C2 0.000 0.500 0.000
C3 0.500 0.000 0.000

volume = 94.8 Å³/cell
formation energy = 3.366 eV per atom

[20]
Compound: Ca2AgSbPd
Source: Alexandria
Functional: SCAN
Structure: PBEsol geometry

a b c (Å): 5.376 5.376 4.851
angles (deg): 90.00 90.00 90.00
Fractional positions:
Ca1 0.000 0.500 0.000
Ca2 0.500 0.000 0.000
Ag1 0.000 0.000 0.000
Sb1 0.500 0.500 0.500
Pd1 0.000 0.000 0.500

volume = 140.2 Å³/cell
formation energy (no corrections) = -0.112 eV/atom

[21]
Compound: K2HgP2Se6
Source: Alexandria
Functional: SCAN
Structure: PBEsol geometry

a b c (Å): 12.824 7.099 14.436
angles (deg): 90.00 111.14 90.00
Fractional positions:
K1 0.089 0.033 0.217
K2 0.089 0.467 0.717
K3 0.397 0.042 0.125
K4 0.397 0.458 0.625
K5 0.603 0.542 0.375
K6 0.603 0.958 0.875
K7 0.911 0.533 0.283
K8 0.911 0.967 0.783
Hg1 0.241 0.621 0.972
Hg2 0.241 0.879 0.472
Hg3 0.759 0.121 0.528
Hg4 0.759 0.379 0.028
P1 0.021 0.613 0.061
P2 0.021 0.887 0.561
P3 0.460 0.042 0.417
P4 0.460 0.458 0.917
P5 0.540 0.542 0.083
P6 0.540 0.958 0.583
P7 0.979 0.113 0.439
P8 0.979 0.387 0.939
Se1 0.099 0.652 0.503
Se2 0.099 0.848 0.003
Se3 0.132 0.002 0.700
Se4 0.132 0.498 0.200
Se5 0.141 0.222 0.437
Se6 0.141 0.278 0.937
Se7 0.340 0.692 0.846
Se8 0.340 0.808 0.346
Se9 0.384 0.182 0.901
Se10 0.384 0.318 0.401
Se11 0.406 0.523 0.145
Se12 0.406 0.977 0.645
Se13 0.594 0.023 0.355
Se14 0.594 0.477 0.855
Se15 0.616 0.682 0.599
Se16 0.616 0.818 0.099
Se17 0.660 0.192 0.654
Se18 0.660 0.308 0.154
Se19 0.859 0.722 0.063
Se20 0.859 0.778 0.563
Se21 0.868 0.502 0.800
Se22 0.868 0.998 0.300
Se23 0.901 0.152 0.997
Se24 0.901 0.348 0.497

volume = 1225.8 Å³/cell
formation energy (no corrections) = -0.624 eV/atom

[22]
Compound: Be2Te
Source: Alexandria
Functional: SCAN
Structure: PBEsol geometry

a b c (Å): 3.814 3.814 4.500
angles (deg): 90.00 90.00 120.00
Fractional positions:
Be1 0.000 0.000 0.229
Be2 0.000 0.000 0.771
Te1 0.667 0.333 0.500

volume = 56.7 Å³/cell
E above lowest polymorph = 4.568 kcal/mol of atoms
formation energy (no corrections) = 0.378 eV/atom

[23]
Compound: Cu3Sn4O12
Source: Alexandria
Functional: SCAN
Structure: PBEsol geometry

a b c (Å): 6.581 6.581 6.581
angles (deg): 109.47 109.47 109.47
Fractional positions:
Cu1 0.000 0.500 0.500
Cu2 0.500 0.000 0.500
Cu3 0.500 0.500 0.000
Sn1 0.000 0.000 0.500
Sn2 0.000 0.500 0.000
Sn3 0.500 0.000 0.000
Sn4 0.500 0.500 0.500
O1 0.152 0.324 0.828
O2 0.172 0.496 0.324
O3 0.172 0.848 0.676
O4 0.324 0.172 0.496
O5 0.324 0.828 0.152
O6 0.496 0.324 0.172
O7 0.504 0.676 0.828
O8 0.676 0.172 0.848
O9 0.676 0.828 0.504
O10 0.828 0.152 0.324
O11 0.828 0.504 0.676
O12 0.848 0.676 0.172

volume = 219.4 Å³/cell
formation energy (no corrections) = -1.341 eV/atom

[24]
Compound: K2AlP
Source: Alexandria
Functional: SCAN
Structure: PBEsol geometry

a b c (Å): 3.049 5.108 6.435
angles (deg): 90.00 90.00 90.00
Fractional positions:
K1 0.000 0.000 0.225
K2 0.000 0.000 0.775
Al1 0.500 0.500 0.500
P1 0.500 0.500 0.000

volume = 100.2 Å³/cell
formation energy = 0.223 eV per atom
E above lowest polymorph = 0.065 kcal/mol of atoms

Number 1: density of states at the Fermi level 0.47 states/eV/atom. Number 2: density of states at the Fermi level 0.48 states/eV/atom. Number 3: density of states at the Fermi level 0.66 states/eV/atom. Number 4: density of states at the Fermi level 0.63 states/eV/atom. Number 5: density of states at the Fermi level 0.85 states/eV/atom. Number 6: density of states at the Fermi level 0.55 states/eV/atom. Number 7: density of states at the Fermi level 0.56 states/eV/atom. Number 8: density of states at the Fermi level 0.57 states/eV/atom. Number 9: density of states at the Fermi level 0.74 states/eV/atom. Number 10: density of states at the Fermi level 0.50 states/eV/atom. Number 11: density of states at the Fermi level 0.57 states/eV/atom. Number 12: density of states at the Fermi level 0.56 states/eV/atom. Number 13: density of states at the Fermi level 0.00 states/eV/atom. Number 14: density of states at the Fermi level 1.82 states/eV/atom. Number 15: density of states at the Fermi level 1.01 states/eV/atom. Number 16: density of states at the Fermi level 0.62 states/eV/atom. Number 17: density of states at the Fermi level 0.41 states/eV/atom. Number 18: density of states at the Fermi level 0.52 states/eV/atom. Number 19: density of states at the Fermi level 0.55 states/eV/atom. Number 20: density of states at the Fermi level 0.31 states/eV/atom. Number 21: density of states at the Fermi level 0.00 states/eV/atom. Number 22: density of states at the Fermi level 0.10 states/eV/atom. Number 23: density of states at the Fermi level 0.41 states/eV/atom. Number 24: density of states at the Fermi level 0.50 states/eV/atom.